[1]
Ni2IrPt at its PBEsol-relaxed geometry, computed with meta-GGA SCAN. Values from VASP.

Structure (Quantum ESPRESSO input):
```
&SYSTEM
  ibrav = 0, nat = 4, ntyp = 3
/
ATOMIC_SPECIES
Pt 195.08 Pt.upf
Ni 58.69 Ni.upf
Ir 192.22 Ir.upf
CELL_PARAMETERS angstrom
-0.875 -0.502 -3.633
-1.159 -3.506 0.764
-2.226 3.210 2.049
ATOMIC_POSITIONS angstrom
Pt -1.017 -2.004 -1.435
Ni -2.201 -1.150 0.689
Ni -2.059 0.352 -1.509
Ir 0.000 0.000 0.000
```

Calculated values
distance to the lowest polymorph of the same formula	0.25	eV per formula unit
symmetry	I4/mmm (139)
V	50	Å³/cell
size of the total moment	0.00	μB/f.u.

---

[2]
NiIr2Pt at its PBEsol-relaxed geometry, computed with meta-GGA SCAN. Values from VASP.

Structure (Quantum ESPRESSO input):
```
&SYSTEM
  ibrav = 0, nat = 4, ntyp = 3
/
ATOMIC_SPECIES
Pt 195.08 Pt.upf
Ir 192.22 Ir.upf
Ni 58.69 Ni.upf
CELL_PARAMETERS angstrom
-1.007 -2.362 0.785
4.049 -1.285 1.325
-2.331 3.547 3.091
ATOMIC_POSITIONS angstrom
Pt 2.024 -0.643 0.663
Ir 1.080 -0.886 3.311
Ir -0.369 0.785 1.890
Ni -0.503 -1.181 0.392
```

Calculated values
distance to the lowest polymorph of the same formula	0.71	eV per formula unit
symmetry	Immm (71)
V	54	Å³/cell
size of the total moment	0.00	μB/f.u.

---

[3]
RbNi3Ir at its PBEsol-relaxed geometry, computed with meta-GGA SCAN. Values from VASP.

Structure (Quantum ESPRESSO input):
```
&SYSTEM
  ibrav = 0, nat = 5, ntyp = 3
/
ATOMIC_SPECIES
Ni 58.69 Ni.upf
Rb 85.47 Rb.upf
Ir 192.22 Ir.upf
CELL_PARAMETERS angstrom
-4.270 0.259 -0.708
-0.754 -1.351 4.050
0.021 4.112 1.376
ATOMIC_POSITIONS angstrom
Ni 0.011 2.056 0.688
Ni -0.377 -0.676 2.025
Ni -2.135 0.130 -0.354
Rb 0.000 0.000 0.000
Ir -2.501 1.510 2.359
```

Calculated values
final energy	-25.3638	eV/atom
symmetry	Pm-3m (221)
V	82	Å³/cell
size of the total moment	2.33	μB/f.u.

---

[4]
RbNiIr3 at its PBEsol-relaxed geometry, computed with meta-GGA SCAN. Values from VASP.

Structure (Quantum ESPRESSO input):
```
&SYSTEM
  ibrav = 0, nat = 5, ntyp = 3
/
ATOMIC_SPECIES
Ir 192.22 Ir.upf
Ni 58.69 Ni.upf
Rb 85.47 Rb.upf
CELL_PARAMETERS angstrom
4.591 0.000 0.000
0.000 4.591 0.000
0.000 0.000 4.591
ATOMIC_POSITIONS angstrom
Ir 0.000 0.000 2.296
Ir 2.296 0.000 0.000
Ir 0.000 2.296 0.000
Ni 0.000 0.000 0.000
Rb 2.296 2.296 2.296
```

Calculated values
final energy	-48.4710	eV/atom
symmetry	Pm-3m (221)
V	97	Å³/cell
size of the total moment	4.09	μB/f.u.

---

[5]
Re2NiIr at its PBEsol-relaxed geometry, computed with meta-GGA SCAN. Values from VASP.

Structure (Quantum ESPRESSO input):
```
&SYSTEM
  ibrav = 0, nat = 4, ntyp = 3
/
ATOMIC_SPECIES
Ir 192.22 Ir.upf
Re 186.21 Re.upf
Ni 58.69 Ni.upf
CELL_PARAMETERS angstrom
-1.008 -1.291 2.125
-3.294 -1.325 -2.367
2.407 -3.848 -1.196
ATOMIC_POSITIONS angstrom
Ir 0.770 -2.682 0.430
Re 0.111 -0.178 -0.055
Re 0.076 -3.417 -2.040
Ni -1.649 -2.111 -0.371
```

Calculated values
distance to the lowest polymorph of the same formula	0.00	eV per formula unit
symmetry	Pmm2 (25)
V	54	Å³/cell
size of the total moment	0.00	μB/f.u.

---

[6]
ReNi2Ir at its PBEsol-relaxed geometry, computed with meta-GGA SCAN. Values from VASP.

Structure (Quantum ESPRESSO input):
```
&SYSTEM
  ibrav = 0, nat = 4, ntyp = 3
/
ATOMIC_SPECIES
Re 186.21 Re.upf
Ir 192.22 Ir.upf
Ni 58.69 Ni.upf
CELL_PARAMETERS angstrom
3.632 0.000 0.000
0.000 3.632 0.000
-1.816 -1.816 3.737
ATOMIC_POSITIONS angstrom
Re 1.816 1.816 0.000
Ir 0.000 1.816 1.869
Ni 1.816 0.000 1.869
Ni 0.000 0.000 0.000
```

Calculated values
distance to the lowest polymorph of the same formula	0.00	eV per formula unit
symmetry	I-4m2 (119)
V	49	Å³/cell
size of the total moment	0.00	μB/f.u.

---

[7]
ReNi2Ir at its PBEsol-relaxed geometry, computed with meta-GGA SCAN. Values from VASP.

Structure (Quantum ESPRESSO input):
```
&SYSTEM
  ibrav = 0, nat = 4, ntyp = 3
/
ATOMIC_SPECIES
Re 186.21 Re.upf
Ni 58.69 Ni.upf
Ir 192.22 Ir.upf
CELL_PARAMETERS angstrom
-0.820 -1.995 -1.556
3.042 0.333 -2.031
2.387 -3.341 3.027
ATOMIC_POSITIONS angstrom
Re 1.179 -1.651 1.495
Ni 0.036 -0.051 0.046
Ni 1.687 -1.636 -1.064
Ir 2.901 -3.335 0.475
```

Calculated values
distance to the lowest polymorph of the same formula	0.11	eV per formula unit
symmetry	Pmm2 (25)
V	50	Å³/cell
size of the total moment	0.00	μB/f.u.

---

[8]
ReNi2Ir at its PBEsol-relaxed geometry, computed with meta-GGA SCAN. Values from VASP.

Structure (Quantum ESPRESSO input):
```
&SYSTEM
  ibrav = 0, nat = 4, ntyp = 3
/
ATOMIC_SPECIES
Ni 58.69 Ni.upf
Ir 192.22 Ir.upf
Re 186.21 Re.upf
CELL_PARAMETERS angstrom
-1.325 -0.640 -3.365
1.749 -3.229 -0.075
-3.155 0.306 3.189
ATOMIC_POSITIONS angstrom
Ni -2.134 -1.134 -0.948
Ni -0.597 -2.429 0.697
Ir 0.000 0.000 0.000
Re 0.212 -1.935 -1.720
```

Calculated values
distance to the lowest polymorph of the same formula	0.50	eV per formula unit
symmetry	I4/mmm (139)
V	50	Å³/cell
size of the total moment	0.00	μB/f.u.

---

[9]
ReNi2Ir at its PBEsol-relaxed geometry, computed with meta-GGA SCAN. Values from VASP.

Structure (Quantum ESPRESSO input):
```
&SYSTEM
  ibrav = 0, nat = 4, ntyp = 3
/
ATOMIC_SPECIES
Re 186.21 Re.upf
Ni 58.69 Ni.upf
Ir 192.22 Ir.upf
CELL_PARAMETERS angstrom
2.671 0.000 0.000
0.000 2.671 0.000
0.000 0.000 6.979
ATOMIC_POSITIONS angstrom
Re 0.000 0.000 3.395
Ni 1.336 1.336 1.685
Ni 0.000 0.000 0.094
Ir 1.336 1.336 5.294
```

Calculated values
distance to the lowest polymorph of the same formula	0.46	eV per formula unit
symmetry	P4mm (99)
V	50	Å³/cell
size of the total moment	0.00	μB/f.u.

---

[10]
Re2NiIr at its PBEsol-relaxed geometry, computed with meta-GGA SCAN. Values from VASP.

Structure (Quantum ESPRESSO input):
```
&SYSTEM
  ibrav = 0, nat = 4, ntyp = 3
/
ATOMIC_SPECIES
Re 186.21 Re.upf
Ir 192.22 Ir.upf
Ni 58.69 Ni.upf
CELL_PARAMETERS angstrom
2.693 0.000 0.000
0.000 4.581 0.000
-1.347 -0.771 4.399
ATOMIC_POSITIONS angstrom
Re 0.000 0.768 2.189
Re 1.347 3.042 2.210
Ir 1.347 0.000 0.000
Ni 0.000 2.290 0.000
```

Calculated values
distance to the lowest polymorph of the same formula	0.76	eV per formula unit
symmetry	C2/m (12)
V	54	Å³/cell
size of the total moment	0.00	μB/f.u.

---

[11]
ReNi2Ir at its PBEsol-relaxed geometry, computed with meta-GGA SCAN. Values from VASP.

Structure (Quantum ESPRESSO input):
```
&SYSTEM
  ibrav = 0, nat = 4, ntyp = 3
/
ATOMIC_SPECIES
Ni 58.69 Ni.upf
Re 186.21 Re.upf
Ir 192.22 Ir.upf
CELL_PARAMETERS angstrom
4.155 0.000 0.000
2.077 3.598 0.000
2.077 1.199 3.392
ATOMIC_POSITIONS angstrom
Ni 0.000 0.000 0.000
Ni 6.232 3.598 2.544
Re 2.077 1.199 0.848
Ir 4.155 2.399 1.696
```

Calculated values
distance to the lowest polymorph of the same formula	1.11	eV per formula unit
symmetry	F-43m (216)
V	51	Å³/cell
size of the total moment	0.00	μB/f.u.

---

[12]
ReNi2Ir at its PBEsol-relaxed geometry, computed with meta-GGA SCAN. Values from VASP.

Structure (Quantum ESPRESSO input):
```
&SYSTEM
  ibrav = 0, nat = 4, ntyp = 3
/
ATOMIC_SPECIES
Ni 58.69 Ni.upf
Ir 192.22 Ir.upf
Re 186.21 Re.upf
CELL_PARAMETERS angstrom
2.645 0.000 0.000
0.000 4.408 -0.008
-1.323 -0.789 4.261
ATOMIC_POSITIONS angstrom
Ni 1.323 3.565 4.243
Ni 0.000 2.949 2.134
Ir 1.323 0.726 2.118
Re 1.323 2.201 0.007
```

Calculated values
distance to the lowest polymorph of the same formula	0.24	eV per formula unit
symmetry	Cm (8)
V	50	Å³/cell
size of the total moment	0.00	μB/f.u.